First-principles (PBE) data for an optimized crystal structure of LaPm4, as listed in Alexandria via LeMat-Bulk.

Cell and atoms, written as POSCAR:
```
LaPm4
1.0
-1.8394 1.8394 12.9673
1.8394 -1.8394 12.9673
1.8394 1.8394 -12.9673
La Pm
1 4
direct
0.0000 0.0000 0.0000
0.2004 0.2004 0.0000
0.3985 0.3985 0.0000
0.6015 0.6015 0.0000
0.7996 0.7996 0.0000
```

Calculated values
The value obtained for the total moment is 0.0 μB/f.u. As for the total energy: -0.1752 Ha/atom.